First-principles (GGA-PBE) data for an optimized crystal structure of Mg2ScTlI, as listed in Alexandria.

Values from the calculation:
**Formation energy without anion corrections**: 673 meV per atom
**Electronic total energy**: -2.014 eV per atom
**Fermi-level density of states**: 1.487 states/eV/atom

Unit cell a=5.4637 b=6.2075 c=5.4637 alpha=90.00 beta=90.00 gamma=90.00
Closest atoms and distances in Å follow each position.
Fractional positions:
Tl1 0.0000 0.5000 0.0000  2 I 3.10
Sc1 0.5000 0.5000 0.5000  4 Tl 3.86, 8 Mg 4.13
Mg1 0.0000 0.0000 0.5000  2 I 2.73
Mg2 0.5000 0.0000 0.0000  2 I 2.73
I1 0.0000 0.0000 0.0000  4 Mg 2.73

=====

First-principles (GGA-PBE) data for an optimized crystal structure of MgSc2VI, as listed in Alexandria.

Values from the calculation:
**Formation energy without anion corrections**: 536 meV per atom
**Electronic total energy**: -4.450 eV per atom
**Fermi-level density of states**: 1.271 states/eV/atom

Unit cell a=5.0657 b=5.1226 c=5.0657 alpha=90.00 beta=90.00 gamma=90.00
Closest atoms and distances in Å follow each position.
Fractional positions:
Sc1 0.5000 0.0000 0.0000  2 V 2.53
Sc2 0.0000 0.0000 0.5000  2 V 2.53
I1 0.0000 0.5000 0.0000  2 V 2.56
V1 0.0000 0.0000 0.0000  4 Sc 2.53, 2 I 2.56
Mg1 0.5000 0.5000 0.5000  4 I 3.58, 8 Sc 3.60

=====

First-principles (GGA-PBE) data for an optimized crystal structure of Mg2SeI2, as listed in Alexandria.

Values from the calculation:
**Formation energy without anion corrections**: -581 meV per atom
**Electronic total energy**: -2.536 eV per atom
**Fermi-level density of states**: 0.126 states/eV/atom

Unit cell a=7.9023 b=7.9023 c=5.2113 alpha=90.00 beta=90.00 gamma=90.00
Closest atoms and distances in Å follow each position.
Fractional positions:
I1 0.3372 0.1628 0.5000  2 Mg 2.79
I2 0.6628 0.8372 0.5000  2 Mg 2.79
I3 0.1628 0.6628 0.5000  2 Mg 2.79
I4 0.8372 0.3372 0.5000  2 Mg 2.79
Mg1 0.7473 0.2473 0.0000  2 I 2.79, 2 Se 2.79
Mg2 0.2473 0.2527 0.0000  2 I 2.79, 2 Se 2.79
Mg3 0.7527 0.7473 0.0000  2 I 2.79, 2 Se 2.79
Mg4 0.2527 0.7527 0.0000  2 I 2.79, 2 Se 2.79
Se1 0.0000 0.0000 0.0000  4 Mg 2.79
Se2 0.5000 0.5000 0.0000  4 Mg 2.79

=====

First-principles (GGA-PBE) data for an optimized crystal structure of MgSeI2, as listed in Alexandria.

Values from the calculation:
**Formation energy without anion corrections**: -152 meV per atom
**Excess energy over the best structure of this formula in the dataset**: 0.000 eV/atom
**Electronic total energy**: -2.197 eV per atom
**Fermi-level density of states**: 0.222 states/eV/atom

Unit cell a=8.3893 b=8.3893 c=7.2386 alpha=54.59 beta=54.59 gamma=90.00
Closest atoms and distances in Å follow each position.
Fractional positions:
I1 0.5603 0.1250 0.2500  2 Mg 2.81
I2 0.8750 0.8103 0.7500  2 Mg 2.81
I3 0.3750 0.4397 0.7500  2 Mg 2.81
I4 0.1897 0.6250 0.2500  2 Mg 2.81
Se1 0.0000 0.0000 0.0000  4 I 3.53
Se2 0.7500 0.2500 0.5000  4 I 3.53
Mg1 0.2500 0.7500 0.5000  4 I 2.81
Mg2 0.5000 0.5000 0.0000  4 I 2.81